First-principles (PBE-GGA) data for an optimized crystal structure of Nd2Tl4In, as listed in the Alexandria database.

extended XYZ file:
```
7
Lattice="7.0241 -2.9759 0.0000 7.0241 2.9759 0.0000 -2.5170 0.0000 5.4013" Properties=species:S:1:pos:R:3 pbc="T T T"
Nd 1.6990 0.0000 0.7930
Nd 9.8321 0.0000 4.6083
Tl -1.2585 0.0000 2.7007
Tl 1.6274 0.0000 4.0453
Tl 7.0241 0.0000 0.0000
Tl 9.9037 0.0000 1.3560
In 5.7656 0.0000 2.7007
```

For the total moment, the calculation gives 0.0 μB/f.u. The formation energy is -0.0398 eV/atom. The density of states at the Fermi level is 4.7 states/eV/cell.